# 1
# GGA-PBE ScSnRh3, relaxed
# E_tot	-5.9878	eV per atom
# energy above the most stable polymorph in this dataset	45	meV per atom
# calculated formation energy	0.49	eV per atom
# D(E_F)	0.8	states/eV/cell
data_ScSnRh3
_chemical_formula_sum 'Sc1 Sn1 Rh3'
_space_group_name_H-M_alt 'P m -3 m'
_space_group_IT_number 221
_space_group_name_Hall '-P 4 2 3'
_cell_length_a 4.650
_cell_length_b 4.650
_cell_length_c 4.650
_cell_angle_alpha 90.00
_cell_angle_beta 90.00
_cell_angle_gamma 90.00
loop_
_atom_site_label
_atom_site_type_symbol
_atom_site_fract_x
_atom_site_fract_y
_atom_site_fract_z
Sc1 Sc 0.000 0.000 0.000
Sn1 Sn 0.500 0.500 0.500
Rh1 Rh 0.000 0.000 0.500



# 2
# GGA-PBE ScSnRh4, relaxed
# E_tot	-7.0581	eV per atom
# calculated formation energy	-0.43	eV per atom
# D(E_F)	16.4	states/eV/cell
data_ScSnRh4
_chemical_formula_sum 'Sc2 Sn2 Rh8'
_space_group_name_H-M_alt 'C 1 2/m 1'
_space_group_IT_number 12
_cell_length_a 9.330
_cell_length_b 3.742
_cell_length_c 5.814
_cell_angle_alpha 90.00
_cell_angle_beta 108.79
_cell_angle_gamma 90.00
loop_
_space_group_symop_operation_xyz
'x,y,z'
'-x,-y,-z'
'-x,y,-z'
'x,-y,z'
'x+1/2,y+1/2,z'
'-x+1/2,-y+1/2,-z'
'-x+1/2,y+1/2,-z'
'x+1/2,-y+1/2,z'
loop_
_atom_site_label
_atom_site_type_symbol
_atom_site_fract_x
_atom_site_fract_y
_atom_site_fract_z
Sc1 Sc 0.000 0.000 0.000
Sn1 Sn 0.000 0.000 0.500
Rh1 Rh 0.159 0.500 0.329
Rh2 Rh 0.166 0.500 0.828



# 3
# GGA-PBE ScSn2Rh2, relaxed
# E_tot	-6.3442	eV per atom
# calculated formation energy	-0.54	eV per atom
# D(E_F)	4.9	states/eV/cell
data_ScSn2Rh2
_chemical_formula_sum 'Sc2 Sn4 Rh4'
_space_group_name_H-M_alt 'P 4/m b m'
_space_group_IT_number 127
_space_group_name_Hall '-P 4 2ab'
_cell_length_a 7.443
_cell_length_b 7.443
_cell_length_c 3.377
_cell_angle_alpha 90.00
_cell_angle_beta 90.00
_cell_angle_gamma 90.00
loop_
_atom_site_label
_atom_site_type_symbol
_atom_site_fract_x
_atom_site_fract_y
_atom_site_fract_z
Sc1 Sc 0.000 0.000 0.000
Sn1 Sn 0.159 0.341 0.500
Rh1 Rh 0.138 0.638 0.000



# 4
# GGA-PBE ScSnRh4, relaxed
# E_tot	-6.7416	eV per atom
# calculated formation energy	-0.12	eV per atom
# D(E_F)	5.5	states/eV/cell
data_ScSnRh4
_chemical_formula_sum 'Sc1 Sn1 Rh4'
_space_group_name_H-M_alt 'P 4/m m m'
_space_group_IT_number 123
_space_group_name_Hall '-P 4 2'
_cell_length_a 4.260
_cell_length_b 4.260
_cell_length_c 6.114
_cell_angle_alpha 90.00
_cell_angle_beta 90.00
_cell_angle_gamma 90.00
loop_
_atom_site_label
_atom_site_type_symbol
_atom_site_fract_x
_atom_site_fract_y
_atom_site_fract_z
Sc1 Sc 0.000 0.000 0.000
Sn1 Sn 0.500 0.500 0.500
Rh1 Rh 0.000 0.500 0.243



# 5
# GGA-PBE Sc3Sn2Rh, relaxed
# E_tot	-6.4593	eV per atom
# calculated formation energy	-0.73	eV per atom
# D(E_F)	10.2	states/eV/cell
data_Sc3Sn2Rh
_chemical_formula_sum 'Sc12 Sn8 Rh4'
_space_group_name_H-M_alt 'P n m a'
_space_group_IT_number 62
_cell_length_a 11.645
_cell_length_b 4.505
_cell_length_c 9.930
_cell_angle_alpha 90.00
_cell_angle_beta 90.00
_cell_angle_gamma 90.00
loop_
_space_group_symop_operation_xyz
'x,y,z'
'-x,-y,-z'
'-x+1/2,-y,z+1/2'
'x+1/2,y,-z+1/2'
'x+1/2,-y+1/2,-z+1/2'
'-x+1/2,y+1/2,z+1/2'
'-x,y+1/2,-z'
'x,-y+1/2,z'
loop_
_atom_site_label
_atom_site_type_symbol
_atom_site_fract_x
_atom_site_fract_y
_atom_site_fract_z
Sc1 Sc 0.054 0.250 0.144
Sc2 Sc 0.156 0.750 0.587
Sc3 Sc 0.243 0.250 0.805
Sn1 Sn 0.006 0.250 0.660
Sn2 Sn 0.170 0.750 0.005
Rh1 Rh 0.120 0.250 0.393



# 6
# GGA-PBE Sc2SnRh, relaxed
# E_tot	-6.7793	eV per atom
# calculated formation energy	-0.77	eV per atom
# D(E_F)	2.5	states/eV/cell
data_Sc2SnRh
_chemical_formula_sum 'Sc2 Sn1 Rh1'
_space_group_name_H-M_alt 'P 4/m m m'
_space_group_IT_number 123
_space_group_name_Hall '-P 4 2'
_cell_length_a 3.265
_cell_length_b 3.265
_cell_length_c 7.475
_cell_angle_alpha 90.00
_cell_angle_beta 90.00
_cell_angle_gamma 90.00
loop_
_atom_site_label
_atom_site_type_symbol
_atom_site_fract_x
_atom_site_fract_y
_atom_site_fract_z
Sc1 Sc 0.000 0.000 0.214
Sn1 Sn 0.500 0.500 0.500
Rh1 Rh 0.500 0.500 0.000